No. 1
# ScGaSe2F, relaxed, DFT PBE
data_ScGaSe2F
_space_group_name_H-M_alt 'P 4/m m m'
_space_group_IT_number 123
_space_group_name_Hall '-P 4 2'
_cell_length_a 4.7915
_cell_length_b 4.7915
_cell_length_c 5.3301
_cell_angle_alpha 90.00
_cell_angle_beta 90.00
_cell_angle_gamma 90.00
loop_
_atom_site_label
_atom_site_fract_x
_atom_site_fract_y
_atom_site_fract_z
Sc1 0.0000 0.0000 0.0000
Ga1 0.0000 0.0000 0.5000
Se1 0.0000 0.5000 0.5000
F1 0.5000 0.5000 0.0000
# raw formation energy: -0.252 eV/atom
# magnetic moment: 0.00 μB/cell
# total energy: -3.89 eV/atom
# N(E_F): 2.80 states/eV/cell

***

No. 2
# SrScGa2F, relaxed, DFT PBE
data_SrScGa2F
_space_group_name_H-M_alt 'P 4/m m m'
_space_group_IT_number 123
_space_group_name_Hall '-P 4 2'
_cell_length_a 4.9508
_cell_length_b 4.9508
_cell_length_c 4.5967
_cell_angle_alpha 90.00
_cell_angle_beta 90.00
_cell_angle_gamma 90.00
loop_
_atom_site_label
_atom_site_fract_x
_atom_site_fract_y
_atom_site_fract_z
Sr1 0.0000 0.0000 0.0000
Sc1 0.5000 0.5000 0.0000
Ga1 0.0000 0.5000 0.5000
F1 0.0000 0.0000 0.5000
# raw formation energy: -0.804 eV/atom
# magnetic moment: 0.00 μB/cell
# total energy: -3.99 eV/atom
# N(E_F): 2.79 states/eV/cell

***

No. 3
# ScTaGa2F, relaxed, DFT PBE
data_ScTaGa2F
_space_group_name_H-M_alt 'P 4/m m m'
_space_group_IT_number 123
_space_group_name_Hall '-P 4 2'
_cell_length_a 4.5980
_cell_length_b 4.5980
_cell_length_c 4.1402
_cell_angle_alpha 90.00
_cell_angle_beta 90.00
_cell_angle_gamma 90.00
loop_
_atom_site_label
_atom_site_fract_x
_atom_site_fract_y
_atom_site_fract_z
Sc1 0.0000 0.0000 0.0000
Ta1 0.5000 0.5000 0.0000
Ga1 0.0000 0.5000 0.5000
F1 0.5000 0.5000 0.5000
# raw formation energy: -0.345 eV/atom
# magnetic moment: 0.00 μB/cell
# total energy: -5.57 eV/atom
# N(E_F): 3.66 states/eV/cell